Entry 1:
The following is a DFT calculation (PBE) of a geometry-optimized MgRe2Br structure.

abc: 4.558 4.558 4.558
angles: 60.00 60.00 60.00
Element x y z (fractional)
Br: 0.500 0.500 0.500
Mg: 0.750 0.750 0.750
Re: 0.000 0.000 0.000
Re: 0.250 0.250 0.250

Summary:
**Calculated total energy**: -24.12 eV/cell
**Energy above the most stable polymorph in this dataset**: 0.856 eV/atom
**Total moment**: 0.0001 μB/atom

Entry 2:
The following is a DFT calculation (PBE) of a geometry-optimized Pu2MnAg2 structure.

abc: 3.078 3.078 10.832
angles: 98.16 98.16 90.05
Element x y z (fractional)
Pu: 0.588 0.588 0.177
Pu: 0.412 0.412 0.823
Mn: 0.000 0.000 0.000
Ag: 0.796 0.796 0.592
Ag: 0.204 0.204 0.408

Summary:
**Calculated total energy**: -43.30 eV/cell
**Calculated formation energy**: 47 meV per atom
**Total moment**: 1.7716 μB/atom

Entry 3:
The following is a DFT calculation (PBE) of a geometry-optimized LiAc2Ge7 structure.

abc: 4.569 4.569 11.135
angles: 90.00 90.00 90.00
Element x y z (fractional)
Li: 0.500 0.500 0.000
Ac: 0.500 0.000 0.748
Ac: 0.000 0.500 0.252
Ge: 0.000 0.500 0.864
Ge: 0.500 0.000 0.374
Ge: 0.500 0.000 0.136
Ge: 0.000 0.500 0.626
Ge: 0.000 0.000 0.500
Ge: 0.000 0.000 0.000
Ge: 0.500 0.500 0.500

Summary:
**Calculated total energy**: -45.77 eV/cell
**Calculated formation energy**: -332 meV per atom
**Total moment**: 0.0000 μB/atom

Entry 4:
The following is a DFT calculation (PBE) of a geometry-optimized LaPr2Si2 structure.

abc: 4.351 7.889 7.889
angles: 90.00 90.00 90.00
Element x y z (fractional)
La: 0.000 0.000 0.000
La: 0.000 0.500 0.500
Pr: 0.500 0.176 0.676
Pr: 0.500 0.676 0.824
Pr: 0.500 0.824 0.324
Pr: 0.500 0.324 0.176
Si: 0.000 0.391 0.891
Si: 0.000 0.891 0.609
Si: 0.000 0.609 0.109
Si: 0.000 0.109 0.391

Summary:
**Calculated total energy**: -56.80 eV/cell
**Energy above the most stable polymorph in this dataset**: 0.000 eV/atom
**Total moment**: 0.0000 μB/atom

Entry 5:
The following is a DFT calculation (PBE) of a geometry-optimized Bi3AsIr structure.

abc: 5.343 5.343 5.343
angles: 90.00 90.00 90.00
Element x y z (fractional)
As: 0.500 0.500 0.500
Ir: 0.000 0.000 0.000
Bi: 0.000 0.500 0.000
Bi: 0.000 0.000 0.500
Bi: 0.500 0.000 0.000

Summary:
**Calculated total energy**: -22.03 eV/cell
**Calculated formation energy**: 625 meV per atom
**Energy above the most stable polymorph in this dataset**: 0.000 eV/atom
**Total moment**: 0.0000 μB/atom

Entry 6:
The following is a DFT calculation (PBE) of a geometry-optimized Sn2PF structure.

abc: 4.819 4.819 4.819
angles: 60.00 60.00 60.00
Element x y z (fractional)
P: 0.500 0.500 0.500
Sn: 0.250 0.250 0.250
Sn: 0.750 0.750 0.750
F: 0.000 0.000 0.000

Summary:
**Calculated total energy**: -17.64 eV/cell
**Energy above the most stable polymorph in this dataset**: 0.000 eV/atom
**Total moment**: 0.0000 μB/atom

Entry 7:
The following is a DFT calculation (PBE) of a geometry-optimized SrYO2F structure.

abc: 4.438 4.438 4.326
angles: 90.00 90.00 90.00
Element x y z (fractional)
Y: 0.000 0.000 0.000
Sr: 0.500 0.500 0.500
O: 0.000 0.500 0.000
O: 0.500 0.000 0.000
F: 0.000 0.000 0.500

Summary:
**Calculated total energy**: -35.85 eV/cell
**Total moment**: 0.0000 μB/atom

Entry 8:
The following is a DFT calculation (PBE) of a geometry-optimized Pr6Nd5Y structure.

abc: 12.226 6.401 6.401
angles: 60.00 84.97 79.90
Element x y z (fractional)
Pr: 0.751 0.083 0.333
Pr: 0.249 0.585 0.333
Pr: 0.249 0.250 0.000
Pr: 0.751 0.750 0.000
Pr: 0.751 0.415 0.667
Pr: 0.249 0.917 0.667
Nd: 0.500 0.166 0.667
Nd: 0.000 0.333 0.334
Nd: 0.500 0.500 0.000
Nd: 0.000 0.667 0.666
Nd: 0.500 0.834 0.333
Y: 0.000 0.000 0.000

Summary:
**Calculated total energy**: -58.85 eV/cell
**Calculated formation energy**: 11 meV per atom
**Total moment**: 0.0000 μB/atom

Entry 9:
The following is a DFT calculation (PBE) of a geometry-optimized Sr2HfTePd structure.

abc: 6.285 4.789 6.285
angles: 90.00 90.00 90.00
Element x y z (fractional)
Sr: 0.000 0.000 0.500
Sr: 0.500 0.000 0.000
Te: 0.500 0.500 0.500
Hf: 0.000 0.000 0.000
Pd: 0.000 0.500 0.000

Summary:
**Calculated total energy**: -20.24 eV/cell
**Total moment**: 0.4827 μB/atom

Entry 10:
The following is a DFT calculation (PBE) of a geometry-optimized Ta3SbAs structure.

abc: 4.767 4.767 4.767
angles: 90.00 90.00 90.00
Element x y z (fractional)
Sb: 0.500 0.500 0.500
As: 0.000 0.000 0.000
Ta: 0.000 0.500 0.000
Ta: 0.000 0.000 0.500
Ta: 0.500 0.000 0.000

Summary:
**Calculated total energy**: -39.88 eV/cell
**Energy above the most stable polymorph in this dataset**: 0.000 eV/atom
**Total moment**: 0.0000 μB/atom

Entry 11:
The following is a DFT calculation (PBE) of a geometry-optimized La3InSn structure.

abc: 3.576 11.723 12.114
angles: 128.94 72.85 127.58
Element x y z (fractional)
La: 0.944 0.225 0.506
La: 0.723 0.414 0.104
La: 0.878 0.010 0.141
La: 0.056 0.775 0.494
La: 0.122 0.990 0.859
La: 0.277 0.586 0.896
In: 0.145 0.200 0.755
In: 0.855 0.800 0.245
Sn: 0.073 0.617 0.661
Sn: 0.927 0.383 0.339

Summary:
**Calculated total energy**: -47.51 eV/cell
**Calculated formation energy**: -446 meV per atom
**Energy above the most stable polymorph in this dataset**: 0.000 eV/atom
**Total moment**: 0.0000 μB/atom

Entry 12:
The following is a DFT calculation (PBE) of a geometry-optimized FeHg2Ru2 structure.

abc: 7.961 7.961 7.961
angles: 154.55 154.55 36.30
Element x y z (fractional)
Fe: 0.000 0.000 0.000
Hg: 0.597 0.597 0.000
Hg: 0.403 0.403 0.000
Ru: 0.250 0.750 0.500
Ru: 0.750 0.250 0.500

Summary:
**Calculated total energy**: -23.28 eV/cell
**Calculated formation energy**: 867 meV per atom
**Total moment**: 0.7294 μB/atom